Entry 1:
Computed, not measured: a relaxed ReTe2P crystal at the PBE level of DFT.

Values from the calculation:
Total magnetization = 0.00 μB/f.u.
Crystal system = monoclinic
Fermi-level density of states = 1.55 states/eV/cell
Theoretical density = 7501 kg/m³
Formation energy (no corrections) = 0.3009 eV/atom

Structure (POSCAR):
```
ReTe2P
1.0
4.7463 0.0000 0.0000
0.0000 3.9369 0.0000
-1.4215 0.0000 5.5961
Re Te P
1 2 1
direct
0.0000 0.0000 0.0000
0.5189 0.0000 0.6870
0.8060 0.5000 0.2532
0.2491 0.5000 0.0028
```

Entry 2:
Computed, not measured: a relaxed ReTe2P12 crystal at the PBE level of DFT.

Values from the calculation:
Total magnetization = 0.00 μB/f.u.
Crystal system = triclinic
Fermi-level density of states = 2.31 states/eV/cell
Theoretical density = 4321 kg/m³
Formation energy (no corrections) = 0.1390 eV/atom

Structure (POSCAR):
```
ReTe2P12
1.0
5.1337 0.0000 0.0000
2.2583 5.8547 0.0000
1.4906 -0.2930 10.3948
Re Te P
1 2 12
direct
0.0000 0.0000 0.0000
0.4291 0.8819 0.3108
0.5709 0.1181 0.6892
0.0171 0.4884 0.2365
0.1299 0.0071 0.7734
0.1334 0.3147 0.0394
0.1467 0.2831 0.4060
0.2636 0.6767 0.6590
0.4438 0.6831 0.0302
0.5562 0.3169 0.9698
0.7364 0.3233 0.3410
0.8533 0.7169 0.5940
0.8666 0.6853 0.9606
0.8701 0.9929 0.2266
0.9829 0.5116 0.7635
```

Entry 3:
Computed, not measured: a relaxed Re4TeP crystal at the PBE level of DFT.

Values from the calculation:
Total magnetization = 0.00 μB/f.u.
Crystal system = cubic
Fermi-level density of states = 7.10 states/eV/cell
Theoretical density = 14250 kg/m³
Formation energy (no corrections) = 1.0580 eV/atom

Structure (POSCAR):
```
Re4TeP
1.0
0.0000 3.7477 3.7477
3.7477 0.0000 3.7477
3.7477 3.7477 0.0000
Re Te P
4 1 1
direct
0.1255 0.1255 0.1255
0.1255 0.1255 0.6235
0.1255 0.6235 0.1255
0.6235 0.1255 0.1255
0.7500 0.7500 0.7500
0.5000 0.5000 0.5000
```

no.,total DFT energy (no corrections) (eV per atom)
1,-5.7344
2,-5.4377
3,-8.6660